Entry from Alexandria via LeMat-Bulk: Sr2LaSe3 after structural relaxation (PBE).

Unit cell a=7.596 b=7.596 c=7.624 alpha=99.56 beta=99.56 gamma=119.97
Element x y z (fractional)
Sr (0.000, 0.000, 0.000)
Sr (0.166, 0.834, 0.500)
Sr (0.500, 0.500, 0.500)
Sr (0.834, 0.166, 0.500)
La (0.333, 0.667, 0.000)
La (0.667, 0.333, 0.000)
Se (0.082, 0.419, 0.245)
Se (0.256, 0.256, 0.755)
Se (0.419, 0.082, 0.245)
Se (0.581, 0.918, 0.755)
Se (0.744, 0.744, 0.245)
Se (0.918, 0.581, 0.755)

## Properties
E ... -5.13 eV per atom
E_form (uncorrected) ... -2.006 eV per atom

=====

Entry from Alexandria via LeMat-Bulk: Sr2LaSe after structural relaxation (PBE).

Unit cell a=11.028 b=11.028 c=11.028 alpha=21.65 beta=21.65 gamma=21.65
Element x y z (fractional)
Sr (0.227, 0.227, 0.227)
Sr (0.773, 0.773, 0.773)
La (0.000, 0.000, 0.000)
Se (0.500, 0.500, 0.500)

## Properties
E ... -3.77 eV per atom
E_form (uncorrected) ... -0.824 eV per atom

=====

Entry from Alexandria via LeMat-Bulk: Sr2LaSe after structural relaxation (PBE).

Unit cell a=7.026 b=7.026 c=6.982 alpha=117.62 beta=117.62 gamma=32.79
Element x y z (fractional)
Sr (0.000, 0.000, 0.000)
Sr (0.180, 0.180, 0.677)
La (0.816, 0.816, 0.309)
Se (0.479, 0.479, 0.635)

## Properties
E ... -3.67 eV per atom
E_form (uncorrected) ... -0.725 eV per atom

=====

Entry from Alexandria via LeMat-Bulk: SrLa4Se after structural relaxation (PBE).

Unit cell a=6.755 b=6.755 c=6.755 alpha=60.00 beta=60.00 gamma=60.00
Element x y z (fractional)
Sr (0.000, 0.000, 0.000)
La (0.116, 0.628, 0.628)
La (0.628, 0.116, 0.628)
La (0.628, 0.628, 0.116)
La (0.628, 0.628, 0.628)
Se (0.250, 0.250, 0.250)

## Properties
E ... -4.02 eV per atom
E_form (uncorrected) ... 0.130 eV per atom

=====

Entry from Alexandria via LeMat-Bulk: SrLa2Se after structural relaxation (PBE).

Unit cell a=8.329 b=8.329 c=8.329 alpha=153.39 beta=146.34 gamma=43.42
Element x y z (fractional)
Sr (0.000, 0.000, 0.000)
La (0.344, 0.344, 0.000)
La (0.684, 0.184, 0.500)
Se (0.180, 0.680, 0.500)

## Properties
E ... -4.44 eV per atom
E_form (uncorrected) ... -0.682 eV per atom

=====

Entry from Alexandria via LeMat-Bulk: Sr3LaSe after structural relaxation (PBE).

Unit cell a=6.166 b=6.166 c=6.166 alpha=90.00 beta=90.00 gamma=90.00
Element x y z (fractional)
Sr (0.000, 0.000, 0.500)
Sr (0.000, 0.500, 0.000)
Sr (0.500, 0.000, 0.000)
La (0.000, 0.000, 0.000)
Se (0.500, 0.500, 0.500)

## Properties
E ... -2.01 eV per atom
E_form (uncorrected) ... 0.679 eV per atom
Polymorph energy (0 for the lowest one) ... 1.1640 eV/atom